Density functional theory data (PBE) for KLa2Mo after structural relaxation.

Cell and atoms, written as CIF:
```
data_KLa2Mo
_cell_length_a 7.973
_cell_length_b 3.761
_cell_length_c 11.073
_cell_angle_alpha 90.00
_cell_angle_beta 107.45
_cell_angle_gamma 90.00
_space_group_name_H-M_alt 'C 1 m 1'
_space_group_IT_number 8
_space_group_name_Hall 'C -2y'
loop_
_atom_site_label
_atom_site_type_symbol
_atom_site_fract_x
_atom_site_fract_y
_atom_site_fract_z
K1 K 0.000 0.000 0.000
La1 La 0.143 0.000 0.653
La2 La 0.422 0.000 0.352
Mo1 Mo 0.230 0.500 0.501
```

Values from the calculation:
- Polymorph energy (0 for the lowest one): 151 meV per atom
- Raw total energy: -4.940 eV/atom
- Formation enthalpy at 0 K: 0.51 eV/atom
- Size of the total moment: 0.000 μB/f.u.